Material: TlSnN2F
Method: DFT, PBE-GGA
State: relaxed Values from VASP.

Geometry as Quantum ESPRESSO input:
```
&SYSTEM
  ibrav = 0, nat = 5, ntyp = 4
/
ATOMIC_SPECIES
N 14.01 N.upf
Tl 204.38 Tl.upf
F 19.00 F.upf
Sn 118.71 Sn.upf
CELL_PARAMETERS angstrom
-2.407 0.893 -3.351
-2.810 -2.893 1.248
-2.106 3.049 2.325
ATOMIC_POSITIONS angstrom
N -1.204 0.446 -1.676
N -1.405 -1.446 0.624
Tl -3.662 0.525 0.111
F -1.053 1.525 1.163
Sn 0.000 0.000 0.000
```

Properties
V: 15.60 A^3/atom
E_form (uncorrected): 0.2583 eV per atom

Material: PmPr2ErTm2
Method: DFT, PBE-GGA
State: relaxed Values from VASP.

Geometry as Quantum ESPRESSO input:
```
&SYSTEM
  ibrav = 0, nat = 12, ntyp = 4
/
ATOMIC_SPECIES
Er 167.26 Er.upf
Pr 140.91 Pr.upf
Tm 168.93 Tm.upf
Pm 145.00 Pm.upf
CELL_PARAMETERS angstrom
5.640 0.000 0.000
0.000 6.866 0.000
0.000 0.000 10.215
ATOMIC_POSITIONS angstrom
Er 0.000 6.593 4.838
Er 0.000 3.160 5.376
Pr 2.820 0.363 0.276
Pr 2.820 3.796 9.939
Pr 0.000 2.158 2.068
Pr 0.000 5.591 8.146
Tm 0.000 2.103 8.868
Tm 2.820 4.872 6.382
Tm 2.820 1.439 3.833
Tm 0.000 5.536 1.347
Pm 2.820 4.823 3.138
Pm 2.820 1.390 7.077
```

Properties
V: 32.97 A^3/atom
ΔH_f (0 K): 73.0 meV/atom

Material: BiH2I
Method: DFT, PBE-GGA
State: relaxed Values from VASP.

Geometry as Quantum ESPRESSO input:
```
&SYSTEM
  ibrav = 0, nat = 8, ntyp = 3
/
ATOMIC_SPECIES
I 126.90 I.upf
H 1.01 H.upf
Bi 208.98 Bi.upf
CELL_PARAMETERS angstrom
4.660 -0.213 -0.020
0.203 4.474 1.017
0.036 -0.071 10.629
ATOMIC_POSITIONS angstrom
I 1.318 2.682 8.648
I 3.581 1.508 2.978
H 1.242 3.889 1.724
H 3.657 0.301 9.902
H 3.619 4.082 10.762
H 1.280 0.108 0.864
Bi 0.120 2.202 5.823
Bi 2.348 -0.142 5.305
```

Properties
V: 27.80 A^3/atom
electronic total energy: -3.14 eV per atom

Material: Dy2LuAg
Method: DFT, PBE-GGA
State: relaxed Values from VASP.

Geometry as Quantum ESPRESSO input:
```
&SYSTEM
  ibrav = 0, nat = 4, ntyp = 3
/
ATOMIC_SPECIES
Ag 107.87 Ag.upf
Dy 162.50 Dy.upf
Lu 174.97 Lu.upf
CELL_PARAMETERS angstrom
-3.526 -0.255 -0.119
0.170 -0.727 -3.458
0.558 -8.569 1.830
ATOMIC_POSITIONS angstrom
Ag -1.678 -0.491 -1.789
Dy 0.436 -6.685 1.427
Dy 0.123 -1.884 0.402
Lu -1.399 -4.776 -0.874
```

Properties
V: 27.47 A^3/atom
ΔH_f (0 K): -124.3 meV/atom

Material: Li4H2N
Method: DFT, PBE-GGA
State: relaxed Values from VASP.

Geometry as Quantum ESPRESSO input:
```
&SYSTEM
  ibrav = 0, nat = 7, ntyp = 3
/
ATOMIC_SPECIES
Li 6.94 Li.upf
H 1.01 H.upf
N 14.01 N.upf
CELL_PARAMETERS angstrom
-3.111 1.901 -1.214
-1.878 -1.036 3.188
-0.764 4.826 3.433
ATOMIC_POSITIONS angstrom
Li -1.391 3.234 2.547
Li -0.939 -0.518 1.594
Li -1.555 0.950 -0.607
Li -4.361 2.458 2.861
H -3.761 3.982 3.709
H -1.991 1.709 1.698
N 0.000 0.000 0.000
```

Properties
V: 11.22 A^3/atom
electronic total energy: -3.33 eV per atom

| no. | size of the total moment (μB per formula unit) |
| --- | --- |
| 1 | 1.86 |
| 2 | 0.00 |
| 3 | 0.00 |
| 4 | 0.00 |
| 5 | 0.84 |